Compound: CrIn3H
Source: Alexandria via LeMat-Bulk
Functional: PBE
Structure: optimized geometry

Geometry as CIF:
```
data_CrIn3H
_chemical_formula_sum 'Cr1 In3 H1'
_cell_length_a 4.5872
_cell_length_b 4.5872
_cell_length_c 4.5872
_cell_angle_alpha 90.00
_cell_angle_beta 90.00
_cell_angle_gamma 90.00
_space_group_name_H-M_alt 'P 1'
_space_group_IT_number 1
loop_
_space_group_symop_operation_xyz
'x,y,z'
loop_
_atom_site_label
_atom_site_type_symbol
_atom_site_fract_x
_atom_site_fract_y
_atom_site_fract_z
Cr1 Cr 0.5000 0.5000 0.5000
H1 H 0.0000 0.0000 0.0000
In1 In 0.0000 0.5000 0.0000
In2 In 0.0000 0.0000 0.5000
In3 In 0.5000 0.0000 0.0000
```

Calculated values
E_tot (eV per cell): -18.87
Total magnetic moment (μB per formula unit): 3.70
Relative energy among the computed polymorphs (meV per atom): 0